Entry from the Alexandria database: an optimized crystal structure of Ba2Ag3Sn4Hg (GGA-PBE).

a = 4.8646 Å, b = 4.8646 Å, c = 11.8481 Å
α = 90.00°, β = 90.00°, γ = 90.00°
Space group P-4m2 (No. 115)
One atom of each set of equivalent atoms:
Ba 0.0000 0.5000 0.2468 (multiplicity 2)
Ag 0.0000 0.0000 0.0000 (multiplicity 1)
Ag 0.0000 0.5000 0.6314 (multiplicity 2)
Sn 0.0000 0.0000 0.5000 (multiplicity 1)
Sn 0.0000 0.5000 0.8656 (multiplicity 2)
Sn 0.5000 0.5000 0.5000 (multiplicity 1)
Hg 0.5000 0.5000 0.0000 (multiplicity 1)

Output
Electronic total energy = -3.26 eV per atom
Energy relative to the elements = -8.975 kcal/mol of atoms